Record 1
10
Lattice="-2.5515 3.0473 -2.6333 3.3142 -2.7371 -2.0627 -13.5417 -14.0405 -3.1265" Properties=species:S:1:pos:R:3 comment="PBE-GGA Tl3PtI, relaxed" total_magnetization_mub_per_fu=0.000 de_polymorph_mev_per_atom=229 energy_ev_per_atom=-3.052 pbc="T T T"
I 0.0000 0.0000 0.0000
Tl -3.3854 -3.5101 -0.7816
Pt -8.7974 -11.3393 -4.5978
Tl -2.0661 -0.4047 -2.7824
Tl -10.7130 -13.3256 -5.0401
I -6.7709 -7.0202 -1.5633
Pt -3.9817 -2.3910 -3.2247
Tl -6.8817 -9.3531 -4.1555
Tl -5.8974 -4.3772 -3.6670
Tl -10.1563 -10.5304 -2.3449


Record 2
5
Lattice="3.0783 5.7174 2.7035 2.7930 -0.6869 6.4188 7.0236 -0.1016 0.3641" Properties=species:S:1:pos:R:3 comment="PBE-GGA Tl3PtI, relaxed" total_magnetization_mub_per_fu=0.000 de_polymorph_mev_per_atom=448 energy_ev_per_atom=-2.833 pbc="T T T"
Tl 9.0329 1.3012 6.4373
I 10.6833 4.0835 7.8594
Tl 9.1681 4.3356 4.6770
Pt 1.0249 0.3918 0.7540
Tl 7.1636 4.0584 7.5457


Record 3
4
Lattice="0.0000 3.8735 3.8735 3.8735 0.0000 3.8735 3.8735 3.8735 0.0000" Properties=species:S:1:pos:R:3 comment="PBE-GGA TlPtI2, relaxed" total_magnetization_mub_per_fu=1.000 de_polymorph_mev_per_atom=436 energy_ev_per_atom=-2.446 pbc="T T T"
I 5.8102 5.8102 5.8102
Tl 3.8735 3.8735 3.8735
I 1.9367 1.9367 1.9367
Pt 0.0000 0.0000 0.0000


Record 4
10
Lattice="3.4643 -13.4928 0.0000 3.4643 13.4928 0.0000 0.0000 0.0000 5.6716" Properties=species:S:1:pos:R:3 comment="PBE-GGA Tl3PtI, relaxed" total_magnetization_mub_per_fu=0.000 de_polymorph_mev_per_atom=449 energy_ev_per_atom=-2.831 pbc="T T T"
Tl 1.5506 -5.7326 4.2537
Tl 0.0000 0.0000 0.0000
Tl 1.5506 5.7326 1.4179
I 3.4643 10.4520 1.4179
I 3.4643 -10.4520 4.2537
Tl 0.0000 0.0000 2.8358
Tl 5.3780 -5.7326 4.2537
Pt 3.4643 7.7300 1.4179
Pt 3.4643 -7.7300 4.2537
Tl 5.3780 5.7326 1.4179


Record 5
20
Lattice="-4.7058 -1.1672 -3.5099 -5.3762 -10.0857 10.5619 -3.5524 5.1039 3.0655" Properties=species:S:1:pos:R:3 comment="PBE-GGA Tl3PtI, relaxed" total_magnetization_mub_per_fu=0.000 de_polymorph_mev_per_atom=153 energy_ev_per_atom=-3.127 pbc="T T T"
Tl -9.0845 -6.6953 9.3062
Tl -4.5499 0.5462 0.8113
I -5.0410 -5.6264 3.5260
Tl -11.3638 -2.5275 5.8725
I -1.7762 2.5519 1.5328
I -4.4643 -2.4909 6.8137
Tl -6.8995 1.4910 3.6442
Tl -0.8044 -0.8710 1.3645
Tl -7.6183 -3.9447 6.4258
Pt -5.7643 -2.1210 0.7728
Tl -2.2707 -3.6216 4.2450
Tl -6.0161 -2.2044 3.6917
Tl -3.4763 0.5368 4.4755
Pt -7.8701 -4.0280 9.3447
Tl -12.8300 -5.2781 8.7530
Pt -10.2236 -4.6107 7.5903
I -2.3529 -0.5836 -1.7550
Tl -6.7349 -7.6401 6.4733
Tl -10.1582 -6.6858 5.6420
Pt -3.4108 -1.5383 2.5272


Record 6
8
Lattice="7.0483 0.0000 0.0000 0.0000 7.0483 0.0000 3.5241 3.5241 6.7756" Properties=species:S:1:pos:R:3 comment="PBE-GGA TlPtI2, relaxed" total_magnetization_mub_per_fu=0.000 de_polymorph_mev_per_atom=0 energy_ev_per_atom=-2.882 pbc="T T T"
I 8.8104 8.1632 5.0817
Tl 0.0000 0.0000 0.0000
Pt 3.5241 3.5241 0.0000
I 5.2862 5.9334 5.0817
I 4.6390 1.7621 1.6939
Pt 3.5241 7.0483 3.3878
I 2.4093 5.2862 1.6939
Tl 7.0483 3.5241 3.3878


Question: Number 4 is which compound?
Answer: Tl3PtI